No. 1
{"formula": "CaHf2N3", "functional": "PBE-GGA", "state": "relaxed", "sg": "P6_3/mmc", "raw_formation_energy_kj_per_mol_atoms": -160, "lattice_angstrom": [[3.248, 0.000, 0.000], [-1.624, 2.813, 0.000], [0.000, 0.000, 16.554]], "species": ["Ca", "Ca", "Hf", "Hf", "Hf", "Hf", "N", "N", "N", "N", "N", "N"], "fractional_positions": [[0.000, 0.000, 0.250], [0.000, 0.000, 0.750], [0.333, 0.667, 0.081], [0.333, 0.667, 0.419], [0.667, 0.333, 0.581], [0.667, 0.333, 0.919], [0.000, 0.000, 0.000], [0.000, 0.000, 0.500], [0.333, 0.667, 0.651], [0.333, 0.667, 0.849], [0.667, 0.333, 0.151], [0.667, 0.333, 0.349]]}

No. 2
{"formula": "Ce4URu4", "functional": "PBE-GGA", "state": "relaxed", "delta_e_f_ev_per_atom": -0.17, "sg": "I4/m", "lattice_angstrom": [[-4.397, 4.397, 2.778], [4.397, -4.397, 2.778], [4.397, 4.397, -2.778]], "species": ["Ce", "Ce", "Ce", "Ce", "U", "Ru", "Ru", "Ru", "Ru"], "fractional_positions": [[0.094, 0.299, 0.392], [0.299, 0.906, 0.205], [0.701, 0.094, 0.795], [0.906, 0.701, 0.608], [0.500, 0.500, 0.000], [0.227, 0.592, 0.818], [0.408, 0.227, 0.635], [0.592, 0.773, 0.365], [0.773, 0.408, 0.182]]}

| no. | electronic total energy (eV/atom) |
| --- | --- |
| 1 | -9.471 |
| 2 | -8.188 |